Computed, not measured: NaPrHfGaO6 after structural relaxation at the PBE level of DFT.

The calculation puts the total energy at -7.342 eV/atom. Its crystal system is cubic.

a b c (Å): 7.9937 7.9937 7.9937
angles (deg): 90.00 90.00 90.00
Last column: nearest neighbours and their distance in Å.
Space group F-43m (No. 216)
Unique sites:
Na1 0.0000 0.0000 0.0000 x4  12 O 2.83
Pr1 0.0000 0.0000 0.5000 x4  12 O 2.83
Hf1 0.2500 0.2500 0.2500 x4  6 O 2.04
Ga1 0.2500 0.2500 0.7500 x4  6 O 1.96
O1 0.0054 0.2500 0.7500 x24  1 Ga 1.96, 1 Hf 2.04